Density functional theory data (PBE-GGA) for a geometry-optimized Pd2RuPt structure.

Output
As for the symmetry: No. 99. The calculation puts the polymorph energy (0 for the lowest one) at 0.000 eV per atom. The value obtained for the formation energy is 0.0420 eV/atom.

Lattice parameters (Å, degrees): 2.772 2.772 7.839 90.00 90.00 90.00
Site moments in Bohr magnetons follow the coordinates.
Element x y z (fractional)
Pd1 0.000 0.000 0.000  0.04
Pd2 0.500 0.500 0.260  0.06
Ru1 0.000 0.000 0.502  0.21
Pt1 0.500 0.500 0.738  0.04

=====

Density functional theory data (PBE-GGA) for a geometry-optimized Pd12RuPt3 structure.

Output
As for the symmetry: No. 123. The value obtained for the formation energy is 0.0282 eV/atom.

Lattice parameters (Å, degrees): 3.943 3.943 15.803 90.00 90.00 90.00
Site moments in Bohr magnetons follow the coordinates.
Element x y z (fractional)
Pd1 0.500 0.500 0.000  0.11
Pd2 0.500 0.500 0.248  0.05
Pd3 0.500 0.500 0.500  0.02
Pd4 0.500 0.500 0.752  0.05
Pd5 0.500 0.000 0.121  0.07
Pd6 0.500 0.000 0.374  0.02
Pd7 0.500 0.000 0.626  0.02
Pd8 0.500 0.000 0.879  0.07
Pd9 0.000 0.500 0.121  0.07
Pd10 0.000 0.500 0.374  0.02
Pd11 0.000 0.500 0.626  0.02
Pd12 0.000 0.500 0.879  0.07
Ru1 0.000 0.000 0.000  0.60
Pt1 0.000 0.000 0.249  0.02
Pt2 0.000 0.000 0.500  0.03
Pt3 0.000 0.000 0.751  0.02

=====

Density functional theory data (PBE-GGA) for a geometry-optimized Pd3RuPt12 structure.

Output
As for the symmetry: No. 123. The value obtained for the formation energy is -0.0218 eV/atom.

Lattice parameters (Å, degrees): 3.950 3.950 15.856 90.00 90.00 90.00
Element x y z (fractional)
Pd1 0.000 0.000 0.247
Pd2 0.000 0.000 0.500
Pd3 0.000 0.000 0.753
Ru1 0.000 0.000 0.000
Pt1 0.500 0.500 0.000
Pt2 0.500 0.500 0.249
Pt3 0.500 0.500 0.500
Pt4 0.500 0.500 0.751
Pt5 0.500 0.000 0.122
Pt6 0.500 0.000 0.374
Pt7 0.500 0.000 0.626
Pt8 0.500 0.000 0.878
Pt9 0.000 0.500 0.122
Pt10 0.000 0.500 0.374
Pt11 0.000 0.500 0.626
Pt12 0.000 0.500 0.878

=====

Density functional theory data (PBE-GGA) for a geometry-optimized Pd2RuPt structure.

Output
As for the symmetry: No. 123. The calculation puts the polymorph energy (0 for the lowest one) at 0.090 eV per atom. The value obtained for the formation energy is 0.1319 eV/atom.

Lattice parameters (Å, degrees): 3.917 3.915 3.915 90.00 90.00 90.00
Element x y z (fractional)
Ru1 0.500 0.500 0.500
Pd1 0.000 0.000 0.500
Pd2 0.000 0.500 0.000
Pt1 0.500 0.000 0.000

=====

Density functional theory data (PBE-GGA) for a geometry-optimized PdRu2Pt9 structure.

Output
As for the symmetry: No. 123. The value obtained for the formation energy is 0.0088 eV/atom.

Lattice parameters (Å, degrees): 3.944 3.944 11.810 90.00 90.00 90.00
Element x y z (fractional)
Pd1 0.000 0.000 0.000
Ru1 0.000 0.000 0.333
Ru2 0.000 0.000 0.667
Pt1 0.500 0.500 0.000
Pt2 0.500 0.500 0.335
Pt3 0.500 0.500 0.665
Pt4 0.500 0.000 0.170
Pt5 0.500 0.000 0.500
Pt6 0.500 0.000 0.830
Pt7 0.000 0.500 0.170
Pt8 0.000 0.500 0.500
Pt9 0.000 0.500 0.830

=====

Density functional theory data (PBE-GGA) for a geometry-optimized Pd2RuPt4 structure.

Output
As for the symmetry: No. 65. The value obtained for the formation energy is 0.1261 eV/atom.

Lattice parameters (Å, degrees): 2.749 3.872 10.858 90.00 97.27 90.00
Element x y z (fractional)
Pd1 0.804 0.500 0.607
Pd2 0.196 0.500 0.393
Ru1 0.500 0.000 0.000
Pt1 0.936 0.500 0.873
Pt2 0.630 0.000 0.261
Pt3 0.064 0.500 0.127
Pt4 0.370 0.000 0.739